No. 1
Compound: IrPd3W
Source: the Alexandria database
Functional: GGA-PBE
Structure: relaxed

Results
E_tot   -5.76 eV/atom
Energy relative to the elements   1.72 eV per atom
Energy relative to the lowest polymorph listed for this composition   0 meV per atom
Theoretical density   11.02 g/cm3

Geometry as POSCAR:
```
IrPd3W
1.0
4.715 0.000 0.000
0.000 4.715 0.000
0.000 0.000 4.715
Ir Pd W
1 3 1
Cartesian
0.000 0.000 0.000
0.000 2.357 2.357
2.357 0.000 2.357
2.357 2.357 0.000
2.357 2.357 2.357
```


No. 2
Compound: Pr2Mg3Ag
Source: the Alexandria database
Functional: GGA-PBE
Structure: relaxed

Results
E_tot   -3.01 eV/atom
Energy relative to the elements   -0.14 eV per atom
Energy relative to the lowest polymorph listed for this composition   12 meV per atom
Theoretical density   4.83 g/cm3

Geometry as POSCAR:
```
Pr2Mg3Ag
1.0
3.418 0.000 0.000
0.000 5.179 0.000
0.000 0.000 8.981
Pr Mg Ag
2 3 1
Cartesian
0.000 0.000 0.000
0.000 2.590 4.293
1.709 0.000 5.838
1.709 2.590 1.414
1.709 2.590 7.365
1.709 0.000 2.906
```


No. 3
Compound: LaCu2As
Source: the Alexandria database
Functional: GGA-PBE
Structure: relaxed

Results
E_tot   -4.80 eV/atom
Energy relative to the elements   -0.36 eV per atom
Theoretical density   6.39 g/cm3

Geometry as POSCAR:
```
LaCu2As
1.0
-2.303 2.303 8.349
2.303 -2.303 8.349
2.303 2.303 -8.349
La Cu As
2 4 2
Cartesian
0.000 0.000 0.000
0.000 2.303 4.175
1.152 -0.183 6.262
2.120 1.152 2.087
1.152 2.486 -2.087
0.183 1.152 10.437
2.303 0.000 4.175
0.000 0.000 8.349
```


No. 4
Compound: Cr3P
Source: the Alexandria database
Functional: GGA-PBE
Structure: relaxed

Results
E_tot   -8.51 eV/atom
Energy relative to the elements   0.06 eV per atom
Energy relative to the lowest polymorph listed for this composition   422 meV per atom
Theoretical density   6.64 g/cm3

Geometry as POSCAR:
```
Cr3P
1.0
1.498 -2.127 0.000
1.498 2.127 0.000
0.000 0.000 7.339
Cr P
3 1
Cartesian
0.000 0.000 0.000
1.498 0.000 1.911
1.498 0.000 5.429
0.000 0.000 3.670
```


No. 5
Compound: SrTl2NiTe
Source: the Alexandria database
Functional: GGA-PBE
Structure: relaxed

Results
E_tot   -3.49 eV/atom
Uncorrected formation energy   -0.423 eV/atom
Theoretical density   7.62 g/cm3

Geometry as POSCAR:
```
SrTl2NiTe
1.0
5.055 0.000 0.000
0.000 5.055 0.000
0.000 0.000 5.819
Sr Tl Ni Te
1 2 1 1
Cartesian
0.000 0.000 0.000
0.000 2.528 2.909
2.528 0.000 2.909
0.000 0.000 2.909
2.528 2.528 0.000
```


No. 6
Compound: TaMnCuRh
Source: the Alexandria database
Functional: GGA-PBE
Structure: relaxed

Results
E_tot   -8.24 eV/atom
Energy relative to the elements   -0.12 eV per atom
Theoretical density   11.82 g/cm3

Geometry as POSCAR:
```
TaMnCuRh
1.0
0.000 3.046 3.046
3.046 0.000 3.046
3.046 3.046 0.000
Ta Mn Cu Rh
1 1 1 1
Cartesian
0.000 0.000 0.000
4.570 4.570 4.570
3.046 3.046 3.046
1.523 1.523 1.523
```


No. 7
Compound: HoNbTcRu
Source: the Alexandria database
Functional: GGA-PBE
Structure: relaxed

Results
E_tot   -8.79 eV/atom
Energy relative to the elements   -0.22 eV per atom
Theoretical density   10.79 g/cm3

Geometry as POSCAR:
```
HoNbTcRu
1.0
0.000 3.275 3.275
3.275 0.000 3.275
3.275 3.275 0.000
Ho Nb Tc Ru
1 1 1 1
Cartesian
0.000 0.000 0.000
3.275 3.275 3.275
1.638 1.638 1.638
4.913 4.913 4.913
```


No. 8
Compound: CsTl2Au
Source: the Alexandria database
Functional: GGA-PBE
Structure: relaxed

Results
E_tot   -2.33 eV/atom
Energy relative to the elements   -0.12 eV per atom
Theoretical density   8.07 g/cm3

Geometry as POSCAR:
```
CsTl2Au
1.0
2.340 1.351 8.010
-2.340 1.351 8.010
0.000 -2.702 8.010
Cs Tl Au
1 2 1
Cartesian
0.000 0.000 0.000
0.000 0.000 5.224
0.000 0.000 18.807
0.000 0.000 12.015
```